[1]
Entry from Alexandria: an optimized crystal structure of KSmMgBr6 (GGA-PBE).

Cell: 7.253 7.253 14.507 Å, 90.00 90.00 120.00°
Atoms (fractional coordinates):
Br (0.363, 0.380, 0.360)
Sm (0.333, 0.667, 0.750)
K (0.000, 0.000, 0.000)
Br (0.017, 0.637, 0.360)
Br (0.983, 0.620, 0.860)
Mg (0.333, 0.667, 0.250)
Br (0.380, 0.363, 0.860)
K (0.000, 0.000, 0.500)
Sm (0.667, 0.333, 0.250)
Br (0.363, 0.983, 0.140)
Br (0.983, 0.363, 0.640)
Br (0.380, 0.017, 0.640)
Br (0.637, 0.620, 0.640)
Br (0.620, 0.637, 0.140)
Br (0.017, 0.380, 0.140)
Br (0.637, 0.017, 0.860)
Mg (0.667, 0.333, 0.750)
Br (0.620, 0.983, 0.360)

- electronic total energy (eV per atom) = -3.66
- formation energy from raw total energies (meV per atom) = -1725.5
- spin magnetization (μB per formula unit) = 0.00

[2]
Entry from Alexandria: an optimized crystal structure of CaPbAuO4 (GGA-PBE).

Cell: 6.777 6.872 6.894 Å, 120.11 90.00 119.55°
Atoms (fractional coordinates):
O (0.231, 0.871, 0.186)
Pb (0.500, 0.000, 0.000)
Pb (0.500, 0.000, 0.500)
O (0.769, 0.129, 0.814)
Ca (0.182, 0.363, 0.932)
O (0.271, 0.542, 0.336)
O (0.729, 0.458, 0.294)
O (0.360, 0.129, 0.814)
O (0.640, 0.871, 0.186)
O (0.271, 0.542, 0.706)
Au (0.500, 0.500, 0.500)
O (0.729, 0.458, 0.664)
Au (0.000, 0.500, 0.500)
Ca (0.818, 0.637, 0.068)

- electronic total energy (eV per atom) = -5.27
- formation energy from raw total energies (meV per atom) = -1149.0
- spin magnetization (μB per formula unit) = 0.00

[3]
Entry from Alexandria: an optimized crystal structure of RuRhIN2 (GGA-PBE).

Cell: 3.774 3.774 7.623 Å, 90.00 90.00 90.00°
Atoms (fractional coordinates):
Rh (0.000, 0.000, 0.000)
Ru (0.500, 0.500, 0.500)
N (0.500, 0.000, 0.000)
N (0.000, 0.500, 0.000)
I (0.000, 0.000, 0.500)

- electronic total energy (eV per atom) = -5.44
- formation energy from raw total energies (meV per atom) = 1522.1
- energy above the lowest structure with this stoichiometry (meV/atom) = 435
- spin magnetization (μB per formula unit) = 2.20

[4]
Entry from Alexandria: an optimized crystal structure of Pr2PuOsN4 (GGA-PBE).

Cell: 3.407 6.180 12.245 Å, 90.00 90.00 106.00°
Atoms (fractional coordinates):
N (0.718, 0.436, 0.856)
N (0.000, 0.000, 0.500)
Os (0.850, 0.701, 0.750)
Pr (0.633, 0.265, 0.454)
N (0.000, 0.000, 0.000)
Pu (0.112, 0.224, 0.750)
N (0.453, 0.906, 0.750)
Pr (0.367, 0.735, 0.954)
Os (0.150, 0.299, 0.250)
N (0.282, 0.564, 0.144)
Pr (0.367, 0.735, 0.546)
Pu (0.888, 0.776, 0.250)
N (0.718, 0.436, 0.644)
Pr (0.633, 0.265, 0.046)
N (0.282, 0.564, 0.356)
N (0.547, 0.094, 0.250)

- electronic total energy (eV per atom) = -9.21
- formation energy from raw total energies (meV per atom) = -655.2
- spin magnetization (μB per formula unit) = 4.06

[5]
Entry from Alexandria: an optimized crystal structure of CrSb2PdI (GGA-PBE).

Cell: 5.153 5.375 5.153 Å, 90.00 90.00 90.00°
Atoms (fractional coordinates):
Pd (0.000, 0.000, 0.000)
Sb (0.000, 0.000, 0.500)
Sb (0.500, 0.000, 0.000)
Cr (0.000, 0.500, 0.000)
I (0.500, 0.500, 0.500)

- electronic total energy (eV per atom) = -4.44
- formation energy from raw total energies (meV per atom) = 479.8
- energy above the lowest structure with this stoichiometry (meV/atom) = 0
- spin magnetization (μB per formula unit) = 4.25

[6]
Entry from Alexandria: an optimized crystal structure of InSb2F (GGA-PBE).

Cell: 4.331 4.331 11.181 Å, 78.83 78.83 90.00°
Atoms (fractional coordinates):
Sb (0.875, 0.843, 0.750)
Sb (0.593, 0.125, 0.250)
F (0.250, 0.750, 0.500)
Sb (0.157, 0.625, 0.250)
In (0.000, 0.000, 0.000)
In (0.750, 0.250, 0.500)
F (0.500, 0.500, 0.000)
Sb (0.375, 0.407, 0.750)

- electronic total energy (eV per atom) = -3.72
- formation energy from raw total energies (meV per atom) = -509.9
- energy above the lowest structure with this stoichiometry (meV/atom) = 0
- spin magnetization (μB per formula unit) = 0.00

Which value of electronic total energy does entry 3 give? -5.44 eV per atom